# 1
VASP calculation (PBE) on a relaxed structure of YGe2Os.

a = 6.3578 Å, b = 14.5414 Å, c = 4.3801 Å
α = 90.00°, β = 131.08°, γ = 90.00°
With the nearest neighbours (Å) after each atom.
Space group C2/m (No. 12)
Symmetry-distinct sites (fractional):
Y  0.0000  0.1221  0.0000 (multiplicity 4)  8 Ge 2.91-3.16, 3 Os 3.21-3.24
Ge  0.0000  0.2534  0.5000 (multiplicity 4)  4 Os 2.56-2.79
Ge  0.2484  0.5000  0.2911 (multiplicity 4)  2 Ge 2.43, 2 Os 2.56
Os  0.0000  0.3449  0.0000 (multiplicity 4)  6 Ge 2.56-2.79

formation energy	-1.65	eV per formula unit


# 2
VASP calculation (PBE) on a relaxed structure of K3Cu2AgBr6.

a = 7.9147 Å, b = 7.9147 Å, c = 8.5336 Å
α = 90.00°, β = 90.00°, γ = 120.00°
With the nearest neighbours (Å) after each atom.
Space group P-3m1 (No. 164)
Symmetry-distinct sites (fractional):
K  0.0000  0.0000  0.0000 (multiplicity 1)  6 Br 3.29
K  0.3333  0.6667  0.6508 (multiplicity 2)  1 Cu 3.29
Cu  0.3333  0.6667  0.2655 (multiplicity 2)  3 Br 2.35
Ag  0.0000  0.0000  0.5000 (multiplicity 1)  6 Br 2.89
Br  0.1625  0.3249  0.2834 (multiplicity 6)  1 Cu 2.35

energy relative to the elements, uncorrected	-0.92	eV/atom


# 3
VASP calculation (PBE) on a relaxed structure of KFeOs2.

a = 2.7396 Å, b = 3.8229 Å, c = 7.8241 Å
α = 90.00°, β = 90.00°, γ = 90.00°
With the nearest neighbours (Å) after each atom.
Space group Pmm2 (No. 25)
Symmetry-distinct sites (fractional):
K  0.0000  0.0000  0.0000 (multiplicity 1)  2 K 2.74
Fe  0.5000  0.5000  0.6600 (multiplicity 1)  5 Os 2.45-2.73, 2 Fe 2.74
Os  0.0000  0.0000  0.4829 (multiplicity 1)  6 Os 2.58-2.74, 4 Fe 2.73
Os  0.5000  0.5000  0.3469 (multiplicity 1)  1 Fe 2.45, 6 Os 2.58-2.74

formation energy	3.11	eV per formula unit
ΔE to the lowest computed polymorph	16	meV per atom


no.,DFT total energy (eV per atom)
1,-7.14
2,-2.96
3,-7.23